Entry 1:
The following is a PBE calculation of an optimized crystal structure of ZrZn3Au2, from Alexandria via LeMat-Bulk.

abc: 18.0987 3.2230 11.0584
angles: 90.00 99.59 90.00
Last column: nearest neighbours and their distance in Å.
Space group C2/m (No. 12)
Symmetry-distinct sites (fractional):
Zr  0.0000  0.0000  0.0000 [2 per cell]  8 Zn 3.04-3.10, 4 Au 3.06, 2 Zr 3.22
Zr  0.1527  0.0000  0.7286 [4 per cell]  6 Au 2.92-3.00, 4 Zn 3.04-3.10, 2 Zr 3.22
Zn  0.0000  0.5000  0.5000 [2 per cell]  4 Zn 2.69, 4 Au 2.84-3.00
Zn  0.0694  0.0000  0.3589 [4 per cell]  4 Au 2.62-2.66, 5 Zn 2.67-2.80
Zn  0.1170  0.5000  0.1796 [4 per cell]  5 Zn 2.56-2.82, 3 Au 2.69-2.81
Zn  0.1357  0.5000  0.9556 [4 per cell]  1 Zn 2.56, 4 Au 2.59-2.74
Zn  0.2148  0.0000  0.3430 [4 per cell]  4 Au 2.59-2.77, 3 Zn 2.67-2.82
Au  0.0246  0.5000  0.7749 [4 per cell]  4 Zn 2.59-2.69
Au  0.1580  0.5000  0.5099 [4 per cell]  6 Zn 2.59-2.84
Au  0.2300  0.0000  0.1111 [4 per cell]  6 Zn 2.62-2.81

Electronic total energy in eV per cell: -122.748
DFT formation energy in eV per atom: -0.26

***

Entry 2:
The following is a PBE calculation of an optimized crystal structure of K4U3SbTe8, from Alexandria via LeMat-Bulk.

abc: 15.6798 9.0426 9.8048
angles: 90.00 122.23 90.00
Last column: nearest neighbours and their distance in Å.
Space group C2/m (No. 12)
Symmetry-distinct sites (fractional):
K  0.0000  0.0000  0.0000 [2 per cell]  6 Te 3.55
K  0.0000  0.5000  0.0000 [2 per cell]  6 Te 3.54-3.55
K  0.2500  0.2500  0.0000 [4 per cell]  6 Te 3.53-3.55
U  0.0000  0.0000  0.5000 [2 per cell]  6 Te 3.14-3.15
U  0.2500  0.2500  0.5000 [4 per cell]  6 Te 3.14-3.15
Sb  0.0000  0.5000  0.5000 [2 per cell]  6 Te 3.14
Te  0.0132  0.2504  0.2897 [8 per cell]  1 Sb 3.14, 2 U 3.14
Te  0.2367  0.5000  0.7103 [4 per cell]  1 Sb 3.14, 2 U 3.14
Te  0.2375  0.0000  0.7128 [4 per cell]  3 U 3.15

Electronic total energy in eV per cell: -159.124
E_form (uncorrected) in eV/atom: -0.753

***

Entry 3:
The following is a PBE calculation of an optimized crystal structure of TbGeAu, from Alexandria via LeMat-Bulk.

abc: 15.5248 3.8987 5.2552
angles: 90.00 98.41 90.00
Last column: nearest neighbours and their distance in Å.
Space group C2/m (No. 12)
Symmetry-distinct sites (fractional):
Tb  0.1402  0.0000  0.3114 [4 per cell]  3 Au 2.89-2.99, 4 Ge 2.95-3.00
Ge  0.2303  0.0000  0.8459 [4 per cell]  2 Ge 2.55, 1 Au 2.80
Au  0.0482  0.0000  0.7699 [4 per cell]  1 Ge 2.80, 3 Tb 2.89-2.99, 2 Au 3.01-3.03

Electronic total energy in eV per cell: -54.616
DFT formation energy in eV per atom: -0.38

***

The lowest electronic total energy belongs to which entry? K4U3SbTe8

***

Number 2 is which compound? K4U3SbTe8